Below is CeNd2Pt after structural relaxation, with properties calculated at the GGA-PBE level.

* calculated total energy: -5.57 eV/atom
* calculated formation energy: -4.3 kcal/mol of atoms
* E above lowest polymorph: 35.9 kJ/mol of atoms

Unit cell a=3.7627 b=3.7627 c=32.3184 alpha=90.00 beta=90.00 gamma=120.00
Space group R-3m (No. 166, hexagonal axes)
Unique sites:
Ce 0.0000 0.0000 0.0000 x3
Nd 0.0000 0.0000 0.1080 x6
Pt 0.0000 0.0000 0.5000 x3